# 1
Entry from the Alexandria database: Rb2BeAs after structural relaxation (PBE). Values from VASP.

The structure in Quantum ESPRESSO input format:
```
&SYSTEM
  ibrav = 0, nat = 8, ntyp = 3
/
ATOMIC_SPECIES
Be 9.01 Be.upf
As 74.92 As.upf
Rb 85.47 Rb.upf
CELL_PARAMETERS angstrom
-3.131 -1.673 -3.390
3.778 -1.226 -2.884
0.640 -11.800 1.678
ATOMIC_POSITIONS crystal
Be 0.500 0.500 0.000
Be 0.250 0.750 0.500
As 0.000 0.000 0.000
As 0.750 0.250 0.500
Rb 0.131 0.625 0.250
Rb 0.619 0.125 0.250
Rb 0.875 0.869 0.750
Rb 0.375 0.381 0.750
```

As for the density: 3.08 Mg/m³. The calculation puts the energy above the most stable polymorph in this dataset at 82 kJ/mol of formula units. Its space group is No. 122. As for the formation energy: 3.31 eV per formula unit.

# 2
Entry from the Alexandria database: RbBeAs3 after structural relaxation (PBE). Values from VASP.

The structure in Quantum ESPRESSO input format:
```
&SYSTEM
  ibrav = 0, nat = 5, ntyp = 3
/
ATOMIC_SPECIES
As 74.92 As.upf
Be 9.01 Be.upf
Rb 85.47 Rb.upf
CELL_PARAMETERS angstrom
-2.105 1.149 4.166
-2.746 -3.934 -0.302
3.337 -2.512 2.379
ATOMIC_POSITIONS crystal
As 0.000 0.500 0.000
As 0.500 0.000 0.000
As 0.000 0.000 0.500
Be 0.000 0.000 0.000
Rb 0.500 0.500 0.500
```

As for the density: 4.77 Mg/m³. The calculation puts the energy above the most stable polymorph in this dataset at 0 kJ/mol of formula units. Its space group is No. 221. As for the formation energy: 1.42 eV per formula unit.

# 3
Entry from the Alexandria database: RbBe2As after structural relaxation (PBE). Values from VASP.

The structure in Quantum ESPRESSO input format:
```
&SYSTEM
  ibrav = 0, nat = 8, ntyp = 3
/
ATOMIC_SPECIES
Be 9.01 Be.upf
As 74.92 As.upf
Rb 85.47 Rb.upf
CELL_PARAMETERS angstrom
4.994 0.000 0.000
0.000 4.994 0.000
2.497 2.497 7.566
ATOMIC_POSITIONS crystal
Be 0.375 0.625 0.750
Be 0.875 0.625 0.750
Be 0.375 0.125 0.250
Be 0.375 0.625 0.250
As 0.250 0.750 0.500
As 0.500 0.500 0.000
Rb 0.750 0.250 0.500
Rb 0.000 0.000 0.000
```

As for the density: 3.14 Mg/m³. Its space group is No. 141. As for the formation energy: 1.44 eV per formula unit.

# 4
Entry from the Alexandria database: RbBeAs3 after structural relaxation (PBE). Values from VASP.

The structure in Quantum ESPRESSO input format:
```
&SYSTEM
  ibrav = 0, nat = 5, ntyp = 3
/
ATOMIC_SPECIES
As 74.92 As.upf
Rb 85.47 Rb.upf
Be 9.01 Be.upf
CELL_PARAMETERS angstrom
-3.365 4.523 0.353
-4.326 -3.332 1.444
1.365 0.589 5.449
ATOMIC_POSITIONS crystal
As 0.000 0.500 0.000
As 0.000 0.000 0.500
As 0.500 0.000 0.000
Rb 0.000 0.000 0.000
Be 0.500 0.500 0.500
```

As for the density: 2.94 Mg/m³. The calculation puts the energy above the most stable polymorph in this dataset at 924 kJ/mol of formula units. Its space group is No. 221. As for the formation energy: 10.99 eV per formula unit.

# 5
Entry from the Alexandria database: RbBe3As2 after structural relaxation (PBE). Values from VASP.

The structure in Quantum ESPRESSO input format:
```
&SYSTEM
  ibrav = 0, nat = 12, ntyp = 3
/
ATOMIC_SPECIES
Be 9.01 Be.upf
Rb 85.47 Rb.upf
As 74.92 As.upf
CELL_PARAMETERS angstrom
-0.221 -3.651 0.720
5.234 0.501 -5.503
3.583 1.405 8.226
ATOMIC_POSITIONS crystal
Be 0.127 0.253 0.448
Be 0.285 0.569 0.586
Be 0.873 0.747 0.552
Be 0.414 0.829 0.402
Be 0.586 0.171 0.598
Be 0.715 0.431 0.414
Rb 0.130 0.259 0.049
Rb 0.870 0.741 0.951
As 0.177 0.354 0.715
As 0.823 0.646 0.285
As 0.546 0.093 0.313
As 0.454 0.907 0.687
```

As for the density: 3.78 Mg/m³. Its space group is No. 12. As for the formation energy: -1.05 eV per formula unit.

# 6
Entry from the Alexandria database: RbBeAs after structural relaxation (PBE). Values from VASP.

The structure in Quantum ESPRESSO input format:
```
&SYSTEM
  ibrav = 0, nat = 6, ntyp = 3
/
ATOMIC_SPECIES
Be 9.01 Be.upf
As 74.92 As.upf
Rb 85.47 Rb.upf
CELL_PARAMETERS angstrom
-0.244 0.890 -3.756
-5.285 -5.561 -2.966
-6.646 1.395 -3.206
ATOMIC_POSITIONS crystal
Be 0.221 0.582 0.498
Be 0.809 0.447 0.477
As 0.353 0.294 0.509
As 0.677 0.735 0.465
Rb 0.294 0.199 0.114
Rb 0.735 0.830 0.861
```

As for the density: 3.44 Mg/m³. Its space group is No. 2. As for the formation energy: -1.24 eV per formula unit.

# 7
Entry from the Alexandria database: RbBeAs after structural relaxation (PBE). Values from VASP.

The structure in Quantum ESPRESSO input format:
```
&SYSTEM
  ibrav = 0, nat = 3, ntyp = 3
/
ATOMIC_SPECIES
As 74.92 As.upf
Rb 85.47 Rb.upf
Be 9.01 Be.upf
CELL_PARAMETERS angstrom
-2.591 -0.233 -2.315
2.144 -1.585 -2.240
-1.377 -4.567 4.619
ATOMIC_POSITIONS crystal
As 0.736 0.736 0.473
Rb 0.008 0.008 0.015
Be 0.256 0.256 0.512
```

As for the density: 3.76 Mg/m³. Its space group is No. 107. As for the formation energy: 0.65 eV per formula unit.

# 8
Entry from the Alexandria database: RbBe2As2 after structural relaxation (PBE). Values from VASP.

The structure in Quantum ESPRESSO input format:
```
&SYSTEM
  ibrav = 0, nat = 5, ntyp = 3
/
ATOMIC_SPECIES
As 74.92 As.upf
Rb 85.47 Rb.upf
Be 9.01 Be.upf
CELL_PARAMETERS angstrom
-0.277 1.484 -3.313
1.770 -2.846 -1.423
-6.027 -4.354 -3.446
ATOMIC_POSITIONS crystal
As 0.343 0.343 0.315
As 0.657 0.657 0.685
Rb 0.000 0.000 0.000
Be 0.250 0.750 0.500
Be 0.750 0.250 0.500
```

As for the density: 4.08 Mg/m³. The calculation puts the energy above the most stable polymorph in this dataset at 0 kJ/mol of formula units. Its space group is No. 139. As for the formation energy: -1.56 eV per formula unit.

# 9
Entry from the Alexandria database: RbBe2As2 after structural relaxation (PBE). Values from VASP.

The structure in Quantum ESPRESSO input format:
```
&SYSTEM
  ibrav = 0, nat = 5, ntyp = 3
/
ATOMIC_SPECIES
Be 9.01 Be.upf
As 74.92 As.upf
Rb 85.47 Rb.upf
CELL_PARAMETERS angstrom
3.540 0.000 0.000
0.000 3.540 0.000
0.000 0.000 8.233
ATOMIC_POSITIONS crystal
Be 0.000 0.500 0.500
Be 0.500 0.000 0.500
As 0.500 0.500 0.690
As 0.500 0.500 0.310
Rb 0.000 0.000 0.000
```

As for the density: 4.08 Mg/m³. The calculation puts the energy above the most stable polymorph in this dataset at 134 kJ/mol of formula units. Its space group is No. 123. As for the formation energy: -0.18 eV per formula unit.

# 10
Entry from the Alexandria database: RbBe6As4 after structural relaxation (PBE). Values from VASP.

The structure in Quantum ESPRESSO input format:
```
&SYSTEM
  ibrav = 0, nat = 11, ntyp = 3
/
ATOMIC_SPECIES
Be 9.01 Be.upf
As 74.92 As.upf
Rb 85.47 Rb.upf
CELL_PARAMETERS angstrom
3.704 -0.151 -0.518
-0.230 3.700 -0.518
0.168 0.171 13.576
ATOMIC_POSITIONS crystal
Be 0.635 0.135 0.270
Be 0.365 0.865 0.730
Be 0.865 0.365 0.730
Be 0.135 0.635 0.270
Be 0.750 0.250 0.500
Be 0.250 0.750 0.500
As 0.803 0.803 0.607
As 0.197 0.197 0.393
As 0.411 0.411 0.821
As 0.589 0.589 0.179
Rb 0.000 0.000 0.000
```

As for the density: 3.92 Mg/m³. Its space group is No. 69. As for the formation energy: -0.82 eV per formula unit.

# 11
Entry from the Alexandria database: RbBeAs after structural relaxation (PBE). Values from VASP.

The structure in Quantum ESPRESSO input format:
```
&SYSTEM
  ibrav = 0, nat = 12, ntyp = 3
/
ATOMIC_SPECIES
Be 9.01 Be.upf
As 74.92 As.upf
Rb 85.47 Rb.upf
CELL_PARAMETERS angstrom
-0.214 3.881 -0.368
-9.683 -0.082 4.761
4.664 1.158 9.506
ATOMIC_POSITIONS crystal
Be 0.750 0.964 0.542
Be 0.250 0.464 0.958
Be 0.250 0.036 0.458
Be 0.750 0.536 0.042
As 0.250 0.872 0.588
As 0.750 0.372 0.912
As 0.750 0.128 0.412
As 0.250 0.628 0.088
Rb 0.750 0.774 0.302
Rb 0.250 0.274 0.198
Rb 0.250 0.226 0.698
Rb 0.750 0.726 0.802
```

As for the density: 2.51 Mg/m³. Its space group is No. 62. As for the formation energy: -1.03 eV per formula unit.

# 12
Entry from the Alexandria database: Rb2BeAsS4 after structural relaxation (PBE). Values from VASP.

The structure in Quantum ESPRESSO input format:
```
&SYSTEM
  ibrav = 0, nat = 16, ntyp = 4
/
ATOMIC_SPECIES
Be 9.01 Be.upf
As 74.92 As.upf
Rb 85.47 Rb.upf
S 32.06 S.upf
CELL_PARAMETERS angstrom
-4.970 0.373 2.806
0.829 -0.659 7.386
-1.099 11.934 2.295
ATOMIC_POSITIONS crystal
Be 0.750 0.500 0.500
Be 0.000 0.000 0.000
As 0.250 0.500 0.500
As 0.500 0.000 0.000
Rb 0.822 0.000 0.356
Rb 0.928 0.500 0.144
Rb 0.178 0.000 0.644
Rb 0.572 0.500 0.856
S 0.634 0.179 0.099
S 0.187 0.179 0.901
S 0.483 0.679 0.401
S 0.267 0.821 0.099
S 0.116 0.321 0.401
S 0.838 0.679 0.599
S 0.563 0.321 0.599
S 0.912 0.821 0.901
```

As for the density: 2.72 Mg/m³. The uncorrected formation energy is -0.7542 eV per atom. Its space group is No. 70.

# 13
Entry from the Alexandria database: RbBeAs2Se after structural relaxation (PBE). Values from VASP.

The structure in Quantum ESPRESSO input format:
```
&SYSTEM
  ibrav = 0, nat = 5, ntyp = 4
/
ATOMIC_SPECIES
Rb 85.47 Rb.upf
As 74.92 As.upf
Se 78.96 Se.upf
Be 9.01 Be.upf
CELL_PARAMETERS angstrom
5.779 0.000 0.000
0.000 5.779 0.000
0.000 0.000 5.814
ATOMIC_POSITIONS crystal
Rb 0.000 0.000 0.000
As 0.500 0.000 0.000
As 0.000 0.500 0.000
Se 0.000 0.000 0.500
Be 0.500 0.500 0.500
```

As for the density: 2.76 Mg/m³. The calculation puts the energy above the most stable polymorph in this dataset at 894 kJ/mol of formula units. The uncorrected formation energy is 1.9781 eV per atom. Its space group is No. 123.

# 14
Entry from the Alexandria database: RbBeAs2Se after structural relaxation (PBE). Values from VASP.

The structure in Quantum ESPRESSO input format:
```
&SYSTEM
  ibrav = 0, nat = 5, ntyp = 4
/
ATOMIC_SPECIES
Se 78.96 Se.upf
Be 9.01 Be.upf
As 74.92 As.upf
Rb 85.47 Rb.upf
CELL_PARAMETERS angstrom
4.678 0.000 0.000
0.000 4.678 0.000
0.000 0.000 5.229
ATOMIC_POSITIONS crystal
Se 0.000 0.000 0.500
Be 0.000 0.000 0.000
As 0.500 0.000 0.000
As 0.000 0.500 0.000
Rb 0.500 0.500 0.500
```

As for the density: 4.69 Mg/m³. The calculation puts the energy above the most stable polymorph in this dataset at 0 kJ/mol of formula units. The uncorrected formation energy is 0.1244 eV per atom. Its space group is No. 123.

# 15
Entry from the Alexandria database: Rb2BeAsSe after structural relaxation (PBE). Values from VASP.

The structure in Quantum ESPRESSO input format:
```
&SYSTEM
  ibrav = 0, nat = 5, ntyp = 4
/
ATOMIC_SPECIES
Be 9.01 Be.upf
Se 78.96 Se.upf
Rb 85.47 Rb.upf
As 74.92 As.upf
CELL_PARAMETERS angstrom
6.633 0.000 0.000
0.000 3.936 0.000
0.000 0.000 6.633
ATOMIC_POSITIONS crystal
Be 0.000 0.000 0.000
Se 0.500 0.500 0.500
Rb 0.000 0.000 0.500
Rb 0.500 0.000 0.000
As 0.000 0.500 0.000
```

As for the density: 3.20 Mg/m³. The uncorrected formation energy is -0.2399 eV per atom. Its space group is No. 123.

# 16
Entry from the Alexandria database: Rb2BeAsSe4 after structural relaxation (PBE). Values from VASP.

The structure in Quantum ESPRESSO input format:
```
&SYSTEM
  ibrav = 0, nat = 16, ntyp = 4
/
ATOMIC_SPECIES
As 74.92 As.upf
Rb 85.47 Rb.upf
Be 9.01 Be.upf
Se 78.96 Se.upf
CELL_PARAMETERS angstrom
6.031 0.000 0.000
3.015 7.137 0.000
3.015 0.000 12.254
ATOMIC_POSITIONS crystal
As 0.250 0.500 0.500
As 0.500 0.000 0.000
Rb 0.570 0.500 0.861
Rb 0.930 0.500 0.139
Rb 0.820 0.000 0.361
Rb 0.180 0.000 0.639
Be 0.750 0.500 0.500
Be 0.000 0.000 0.000
Se 0.629 0.184 0.103
Se 0.833 0.684 0.603
Se 0.564 0.316 0.603
Se 0.121 0.316 0.397
Se 0.917 0.816 0.897
Se 0.268 0.816 0.103
Se 0.482 0.684 0.397
Se 0.186 0.184 0.897
```

As for the density: 3.59 Mg/m³. The uncorrected formation energy is -0.6858 eV per atom. Its space group is No. 70.

# 17
Entry from the Alexandria database: Rb2BeSnAs2 after structural relaxation (PBE). Values from VASP.

The structure in Quantum ESPRESSO input format:
```
&SYSTEM
  ibrav = 0, nat = 12, ntyp = 4
/
ATOMIC_SPECIES
Rb 85.47 Rb.upf
As 74.92 As.upf
Sn 118.71 Sn.upf
Be 9.01 Be.upf
CELL_PARAMETERS angstrom
-0.737 -3.989 5.287
4.874 -4.445 -2.675
3.380 8.011 2.316
ATOMIC_POSITIONS crystal
Rb 0.825 0.554 0.650
Rb 0.325 0.096 0.650
Rb 0.175 0.446 0.350
Rb 0.675 0.904 0.350
As 0.927 0.236 0.854
As 0.427 0.618 0.854
As 0.573 0.382 0.146
As 0.073 0.764 0.146
Sn 0.250 0.000 0.000
Sn 0.750 0.000 0.000
Be 0.750 0.500 0.000
Be 0.250 0.500 0.000
```

As for the density: 4.15 Mg/m³. Its space group is No. 72. As for the formation energy: -1.08 eV per formula unit.

# 18
Entry from the Alexandria database: RbTiBe2As after structural relaxation (PBE). Values from VASP.

The structure in Quantum ESPRESSO input format:
```
&SYSTEM
  ibrav = 0, nat = 5, ntyp = 4
/
ATOMIC_SPECIES
Rb 85.47 Rb.upf
As 74.92 As.upf
Be 9.01 Be.upf
Ti 47.87 Ti.upf
CELL_PARAMETERS angstrom
4.718 0.000 0.000
0.000 4.948 0.000
0.000 0.000 4.718
ATOMIC_POSITIONS crystal
Rb 0.500 0.500 0.500
As 0.000 0.000 0.000
Be 0.000 0.000 0.500
Be 0.500 0.000 0.000
Ti 0.000 0.500 0.000
```

As for the density: 3.41 Mg/m³. Its space group is No. 123. As for the formation energy: 4.49 eV per formula unit.

# 19
Entry from the Alexandria database: RbBeTl2As2 after structural relaxation (PBE). Values from VASP.

The structure in Quantum ESPRESSO input format:
```
&SYSTEM
  ibrav = 0, nat = 12, ntyp = 4
/
ATOMIC_SPECIES
Tl 204.38 Tl.upf
As 74.92 As.upf
Be 9.01 Be.upf
Rb 85.47 Rb.upf
CELL_PARAMETERS angstrom
6.780 -0.122 -0.830
-0.158 8.943 0.287
-4.046 -4.153 6.405
ATOMIC_POSITIONS crystal
Tl 0.856 0.579 0.675
Tl 0.144 0.421 0.325
Tl 0.817 0.770 0.389
Tl 0.183 0.230 0.611
As 0.430 0.637 0.886
As 0.118 0.662 0.167
As 0.570 0.363 0.114
As 0.882 0.338 0.833
Be 0.692 0.488 0.979
Be 0.308 0.512 0.021
Rb 0.585 0.951 0.784
Rb 0.415 0.049 0.216
```

As for the density: 5.93 Mg/m³. Its space group is No. 2. As for the formation energy: -0.88 eV per formula unit.

# 20
Entry from the Alexandria database: Rb2BeZnAs after structural relaxation (PBE). Values from VASP.

The structure in Quantum ESPRESSO input format:
```
&SYSTEM
  ibrav = 0, nat = 5, ntyp = 4
/
ATOMIC_SPECIES
Rb 85.47 Rb.upf
Be 9.01 Be.upf
Zn 65.41 Zn.upf
As 74.92 As.upf
CELL_PARAMETERS angstrom
-6.060 1.114 1.625
0.070 -3.506 2.663
1.968 3.690 4.807
ATOMIC_POSITIONS crystal
Rb 0.500 0.000 0.000
Rb 0.000 0.000 0.500
Be 0.000 0.500 0.000
Zn 0.000 0.000 0.000
As 0.500 0.500 0.500
```

As for the density: 2.98 Mg/m³. Its space group is No. 123. As for the formation energy: 2.68 eV per formula unit.